{
  "formula": "TaAg3Os",
  "functional": "PBEsol",
  "state": "relaxed",
  "n_ef_per_ev_cell": 6.53,
  "space_group": "Pm-3m, No. 221",
  "ef_ev_per_atom": 2.64,
  "lattice_angstrom": [[4.870, 0.000, 0.000], [0.000, 4.870, 0.000], [0.000, 0.000, 4.870]],
  "species": ["Ag", "Ta", "Ag", "Os", "Ag"],
  "frac_coords": [[0.000, 0.000, 0.500], [0.000, 0.000, 0.000], [0.500, 0.000, 0.000], [0.500, 0.500, 0.500], [0.000, 0.500, 0.000]]
}